First-principles (PBE) data for crystalline CeTh2Sc at its relaxed geometry, as listed in Alexandria.

```
CeTh2Sc
1.0
0.000 3.875 3.875
3.875 0.000 3.875
3.875 3.875 0.000
Ce Th Sc
1 2 1
Direct
0.000 0.000 0.000 Ce
0.250 0.250 0.250 Th
0.750 0.750 0.750 Th
0.500 0.500 0.500 Sc
```

density of states at the Fermi level = 9.95 states/eV/f.u.
excess energy over the best structure of this formula in the dataset = 0.118 eV/atom
final energy = -26.5 eV/cell